A geometry-optimized KNaCo2 structure. Source: Alexandria, functional PBE-GGA.

As for the formation energy: 5.7 eV per formula unit. The value obtained for the calculated total energy is -0.1005 Ha/atom. Its density of states at the Fermi level is 4.865 states/eV/atom. Its volume is 377.6 Å³/cell. As for the crystal system: cubic. As for the calculated density: 3.17 g/cm³. As for the magnetization: 14.83 μB per cell.

It has space group Fm-3m (No. 225), with a = 7.228 Å, b = 7.228 Å, c = 7.228 Å, α = 90.00°, β = 90.00° and γ = 90.00°. The distinct sites, in fractional coordinates, are K at (0.000, 0.000, 0.000), Na at (0.000, 0.000, 0.500) and Co at (0.250, 0.250, 0.250).